## PuGaN2 (GGA-PBE)

Data for crystalline PuGaN2 at its relaxed geometry.

## Properties
- DOS at the Fermi energy: 6.16 states/eV/cell
- Space group: R-3m (166)
- Uncorrected energy: -36.13 eV/cell
- Formation energy (no corrections): -0.53 eV/atom

a = 3.665 Å, b = 3.665 Å, c = 6.129 Å
α = 72.60°, β = 72.60°, γ = 60.00°
Atoms (fractional coordinates):
Pu: 0.500 0.500 0.500
N: 0.105 0.105 0.685
N: 0.895 0.895 0.315
Ga: 0.000 0.000 0.000

## Pu2GaN (GGA-PBE)

Data for crystalline Pu2GaN at its relaxed geometry.

## Properties
- DOS at the Fermi energy: 12.79 states/eV/cell
- Space group: R-3m (166)
- Uncorrected energy: -41.73 eV/cell
- Formation energy (no corrections): -0.43 eV/atom

a = 3.314 Å, b = 3.314 Å, c = 9.311 Å
α = 79.75°, β = 79.75°, γ = 60.00°
Atoms (fractional coordinates):
Ga: 0.000 0.000 0.000
N: 0.500 0.500 0.500
Pu: 0.113 0.113 0.660
Pu: 0.887 0.887 0.340

## Pu2GaN (GGA-PBE)

Data for crystalline Pu2GaN at its relaxed geometry.

## Properties
- DOS at the Fermi energy: 9.27 states/eV/cell
- Space group: P4/mmm (123)
- Uncorrected energy: -41.87 eV/cell
- Formation energy (no corrections): -0.46 eV/atom

a = 3.048 Å, b = 3.048 Å, c = 7.597 Å
α = 90.00°, β = 90.00°, γ = 90.00°
Atoms (fractional coordinates):
Pu: 0.000 0.000 0.808
Pu: 0.000 0.000 0.192
Ga: 0.500 0.500 0.500
N: 0.500 0.500 0.000

## Pu2GaN (GGA-PBE)

Data for crystalline Pu2GaN at its relaxed geometry.

## Properties
- DOS at the Fermi energy: 10.62 states/eV/cell
- Space group: R3m (160)
- Uncorrected energy: -42.46 eV/cell
- Formation energy (no corrections): -0.61 eV/atom

a = 3.333 Å, b = 3.333 Å, c = 8.356 Å
α = 78.50°, β = 78.50°, γ = 60.00°
Atoms (fractional coordinates):
Ga: 0.501 0.501 0.496
N: 0.666 0.666 0.002
Pu: 0.274 0.274 0.179
Pu: 0.059 0.059 0.823

## Sr4Pu3GaN8 (GGA-PBE)

Data for crystalline Sr4Pu3GaN8 at its relaxed geometry.

## Properties
- DOS at the Fermi energy: 19.86 states/eV/cell
- Space group: C2/m (12)
- Uncorrected energy: -132.21 eV/cell
- Formation energy (no corrections): -0.80 eV/atom

a = 6.948 Å, b = 7.141 Å, c = 7.063 Å
α = 119.11°, β = 119.46°, γ = 90.00°
Atoms (fractional coordinates):
N: 0.266 0.299 0.531
N: 0.247 0.707 0.495
N: 0.753 0.293 0.505
N: 0.734 0.701 0.469
N: 0.235 0.700 0.966
N: 0.269 0.300 0.034
N: 0.765 0.300 0.034
N: 0.731 0.700 0.966
Sr: 0.500 0.000 0.500
Sr: 0.500 0.000 0.000
Sr: 0.000 0.000 0.500
Sr: 0.000 0.000 0.000
Pu: 0.500 0.500 0.000
Pu: 0.500 0.500 0.500
Pu: 0.000 0.500 0.500
Ga: 0.000 0.500 0.000

## PuTh2GaN5 (GGA-PBE)

Data for crystalline PuTh2GaN5 at its relaxed geometry.

## Properties
- DOS at the Fermi energy: 10.96 states/eV/cell
- Space group: Cmc2_1 (36)
- Uncorrected energy: -167.93 eV/cell
- Formation energy (no corrections): -1.13 eV/atom

a = 3.476 Å, b = 7.268 Å, c = 10.405 Å
α = 90.00°, β = 90.00°, γ = 103.83°
Atoms (fractional coordinates):
N: 0.289 0.578 0.650
N: 0.507 0.013 0.286
N: 0.493 0.987 0.786
N: 0.955 0.910 0.551
N: 0.711 0.422 0.150
N: 0.303 0.607 0.357
N: 0.637 0.273 0.513
N: 0.363 0.727 0.013
N: 0.697 0.393 0.857
N: 0.045 0.090 0.051
Th: 0.868 0.735 0.795
Th: 0.132 0.265 0.295
Th: 0.116 0.232 0.694
Th: 0.884 0.768 0.194
Ga: 0.491 0.983 0.475
Ga: 0.509 0.017 0.975
Pu: 0.797 0.593 0.503
Pu: 0.203 0.407 0.003

## Rb2Ga2N (GGA-PBE)

Data for crystalline Rb2Ga2N at its relaxed geometry.

## Properties
- DOS at the Fermi energy: 16.32 states/eV/cell
- Relative energy among the computed polymorphs: 0.800 eV per atom
- Space group: P4/mbm (127)
- Uncorrected energy: -22.48 eV/cell
- Formation energy (no corrections): 1.01 eV/atom

a = 7.516 Å, b = 7.516 Å, c = 6.696 Å
α = 90.00°, β = 90.00°, γ = 90.00°
Atoms (fractional coordinates):
N: 0.000 0.000 0.000
N: 0.500 0.500 0.000
Ga: 0.376 0.124 0.500
Ga: 0.624 0.876 0.500
Ga: 0.876 0.376 0.500
Ga: 0.124 0.624 0.500
Rb: 0.681 0.181 0.000
Rb: 0.181 0.319 0.000
Rb: 0.319 0.819 0.000
Rb: 0.819 0.681 0.000

## Rb2GaN (GGA-PBE)

Data for crystalline Rb2GaN at its relaxed geometry.

## Properties
- DOS at the Fermi energy: 0.00 states/eV/cell
- Relative energy among the computed polymorphs: 0.780 eV per atom
- Space group: Fm-3m (225)
- Uncorrected energy: -9.25 eV/cell
- Formation energy (no corrections): 1.01 eV/atom

a = 5.412 Å, b = 5.412 Å, c = 5.412 Å
α = 60.00°, β = 60.00°, γ = 60.00°
Atoms (fractional coordinates):
Ga: 0.500 0.500 0.500
Rb: 0.250 0.250 0.250
Rb: 0.750 0.750 0.750
N: 0.000 0.000 0.000

## RbGaN2 (GGA-PBE)

Data for crystalline RbGaN2 at its relaxed geometry.

## Properties
- DOS at the Fermi energy: 0.00 states/eV/cell
- Space group: R-3m (166)
- Uncorrected energy: -16.74 eV/cell
- Formation energy (no corrections): 0.98 eV/atom

a = 7.263 Å, b = 7.263 Å, c = 7.263 Å
α = 35.78°, β = 35.78°, γ = 35.78°
Atoms (fractional coordinates):
N: 0.914 0.914 0.914
N: 0.086 0.086 0.086
Rb: 0.500 0.500 0.500
Ga: 0.000 0.000 0.000

## RbGaN2 (GGA-PBE)

Data for crystalline RbGaN2 at its relaxed geometry.

## Properties
- DOS at the Fermi energy: 0.30 states/eV/cell
- Space group: R-3m (166)
- Uncorrected energy: -16.95 eV/cell
- Formation energy (no corrections): 0.92 eV/atom

a = 7.383 Å, b = 7.383 Å, c = 7.383 Å
α = 25.87°, β = 25.87°, γ = 25.87°
Atoms (fractional coordinates):
N: 0.878 0.878 0.878
N: 0.122 0.122 0.122
Rb: 0.000 0.000 0.000
Ga: 0.500 0.500 0.500

## RbGa2N (GGA-PBE)

Data for crystalline RbGa2N at its relaxed geometry.

## Properties
- DOS at the Fermi energy: 0.46 states/eV/cell
- Space group: I-42d (122)
- Uncorrected energy: -27.75 eV/cell
- Formation energy (no corrections): 0.37 eV/atom

a = 7.145 Å, b = 7.145 Å, c = 6.284 Å
α = 55.35°, β = 55.35°, γ = 90.00°
Atoms (fractional coordinates):
Ga: 0.875 0.738 0.750
Ga: 0.488 0.125 0.250
Ga: 0.375 0.512 0.750
Ga: 0.262 0.625 0.250
N: 0.500 0.500 0.000
N: 0.250 0.750 0.500
Rb: 0.750 0.250 0.500
Rb: 0.000 0.000 0.000

## Rb2Ga2N (GGA-PBE)

Data for crystalline Rb2Ga2N at its relaxed geometry.

## Properties
- DOS at the Fermi energy: 3.75 states/eV/cell
- Relative energy among the computed polymorphs: 0.000 eV per atom
- Space group: I4/mmm (139)
- Uncorrected energy: -15.24 eV/cell
- Formation energy (no corrections): 0.21 eV/atom

a = 7.012 Å, b = 7.012 Å, c = 6.961 Å
α = 59.76°, β = 59.76°, γ = 90.00°
Atoms (fractional coordinates):
Rb: 0.250 0.750 0.500
Rb: 0.750 0.250 0.500
Ga: 0.814 0.814 0.372
Ga: 0.186 0.186 0.628
N: 0.000 0.000 0.000